Sc2V2Cu | PBE | relaxed

Unit cell a=6.432 b=6.432 c=4.305 alpha=90.00 beta=90.00 gamma=90.00
Space group P4/mbm (No. 127)
Asymmetric unit:
1 Sc 0.173 0.327 0.000 [4 per cell]
2 V 0.124 0.624 0.500 [4 per cell]
3 Cu 0.000 0.000 0.500 [2 per cell]

Calculated values
As for the final energy: -6.7347 eV per atom. For the energy of formation from the pure elements, the calculation gives 0.265 eV per atom.